[1]
DyErTm2Sc4: optimized geometry, PBE.

```
DyErTm2Sc4
1.0
6.467 -6.319 0.000
6.467 6.319 0.000
-3.248 0.000 5.610
Dy Er Tm Sc
2 2 4 8
Cartesian
0.000 0.000 0.000
-1.624 0.000 2.805
3.234 3.160 0.000
1.610 -3.160 2.805
1.610 3.160 2.805
3.234 -3.160 0.000
6.467 0.000 0.000
4.843 0.000 2.805
1.618 0.007 2.821
3.211 3.138 5.602
3.242 -0.007 0.016
4.852 3.138 2.812
4.835 -3.138 2.797
6.445 0.007 5.594
6.476 -3.138 0.008
8.069 -0.007 2.789
```

Computed properties:
V   229 Å³/f.u.
Spin magnetization   8.35 Bohr magnetons per cell

[2]
DyEr4TmSc2: optimized geometry, PBE.

```
DyEr4TmSc2
1.0
4.884 0.000 0.000
0.000 4.884 0.000
0.000 0.000 9.715
Dy Er Tm Sc
1 4 1 2
Cartesian
0.000 0.000 0.000
0.000 2.442 2.437
0.000 2.442 7.278
2.442 0.000 2.437
2.442 0.000 7.278
2.442 2.442 4.858
0.000 0.000 4.858
2.442 2.442 0.000
```

Computed properties:
V   232 Å³/f.u.
Spin magnetization   0.00 Bohr magnetons per cell

| no. | Fermi-level density of states (states/eV per atom) | ΔH_f (0 K) (meV/atom) | density (g/cm3) |
| --- | --- | --- | --- |
| 1 | 2.11 | 432 | 6.1 |
| 2 | 1.54 | 43 | 7.8 |